ErLuAsO: relaxed, PBE.

Cell: 4.277 4.277 8.564 Å, 90.00 90.00 90.00°
Fractional coordinates of all 8 atoms:
Er  0.250  0.750  0.000
Er  0.750  0.250  0.000
Lu  0.250  0.250  0.406
Lu  0.750  0.750  0.594
As  0.250  0.250  0.791
As  0.750  0.750  0.209
O  0.250  0.750  0.500
O  0.750  0.250  0.500

Summary:
As for the crystal system: tetragonal. As for the energy relative to the lowest polymorph listed for this composition: 117 meV/atom.


ErLuAsO: relaxed, PBE.

Cell: 4.114 7.397 5.858 Å, 90.00 90.00 90.00°
Fractional coordinates of all 8 atoms:
Er  0.000  0.213  0.000
Er  0.000  0.787  0.500
Lu  0.500  0.389  0.578
Lu  0.500  0.611  0.078
As  0.000  0.164  0.488
As  0.000  0.836  0.988
O  0.500  0.333  0.940
O  0.500  0.667  0.440

Summary:
As for the crystal system: orthorhombic. As for the energy relative to the lowest polymorph listed for this composition: 0 meV/atom.


ErLuAsO: relaxed, PBE.

Cell: 4.069 7.554 5.728 Å, 90.00 90.00 90.00°
Fractional coordinates of all 8 atoms:
Er  0.000  0.116  0.000
Er  0.000  0.884  0.500
Lu  0.500  0.283  0.436
Lu  0.500  0.717  0.936
As  0.500  0.349  0.924
As  0.500  0.651  0.424
O  0.000  0.173  0.379
O  0.000  0.827  0.879

Summary:
As for the crystal system: orthorhombic. As for the energy relative to the lowest polymorph listed for this composition: 23 meV/atom.


Number 1: volume 19.58 A^3/atom. Number 2: volume 22.28 A^3/atom. Number 3: volume 22.00 A^3/atom.